Density functional theory data (PBE-GGA) for a relaxed structure of La4InAg2.

Uncorrected energy ... -4.142 eV/atom
Theoretical density ... 6.4 Mg/m³
ΔH_f (0 K) ... -0.12 eV per atom

abc: 5.345 5.345 9.799
angles: 74.17 74.17 60.00
Fractional positions:
La: 0.378 0.378 0.866
La: 0.212 0.212 0.364
La: 0.788 0.788 0.636
La: 0.622 0.622 0.134
In: 0.000 0.000 0.000
Ag: 0.102 0.102 0.695
Ag: 0.898 0.898 0.305

---

Density functional theory data (PBE-GGA) for a relaxed structure of La2In8Ag.

Uncorrected energy ... -3.505 eV/atom
Theoretical density ... 7.4 Mg/m³
ΔH_f (0 K) ... -0.36 eV per atom

abc: 4.841 4.841 12.496
angles: 90.00 90.00 90.00
Fractional positions:
La: 0.000 0.000 0.309
La: 0.000 0.000 0.691
In: 0.000 0.500 0.500
In: 0.500 0.000 0.500
In: 0.500 0.500 0.309
In: 0.500 0.500 0.691
In: 0.000 0.500 0.127
In: 0.500 0.000 0.127
In: 0.000 0.500 0.873
In: 0.500 0.000 0.873
Ag: 0.000 0.000 0.000

---

Density functional theory data (PBE-GGA) for a relaxed structure of La2In12Ag.

Uncorrected energy ... -3.237 eV/atom
Theoretical density ... 7.1 Mg/m³
ΔH_f (0 K) ... -0.20 eV per atom

abc: 6.919 6.919 17.195
angles: 90.00 90.00 90.00
Fractional positions:
La: 0.500 0.000 0.243
La: 0.000 0.500 0.243
La: 0.000 0.500 0.757
La: 0.500 0.000 0.757
In: 0.500 0.500 0.815
In: 0.000 0.000 0.815
In: 0.750 0.750 0.911
In: 0.250 0.750 0.911
In: 0.000 0.000 0.345
In: 0.250 0.750 0.089
In: 0.836 0.336 0.571
In: 0.500 0.500 0.345
In: 0.250 0.250 0.911
In: 0.750 0.750 0.089
In: 0.336 0.164 0.571
In: 0.664 0.164 0.429
In: 0.000 0.000 0.655
In: 0.164 0.336 0.429
In: 0.250 0.250 0.089
In: 0.836 0.664 0.429
In: 0.664 0.836 0.571
In: 0.000 0.000 0.185
In: 0.164 0.664 0.571
In: 0.500 0.500 0.655
In: 0.750 0.250 0.911
In: 0.500 0.500 0.185
In: 0.336 0.836 0.429
In: 0.750 0.250 0.089
Ag: 0.500 0.000 0.000
Ag: 0.000 0.500 0.000

---

Density functional theory data (PBE-GGA) for a relaxed structure of LaInAg3.

Uncorrected energy ... -2.474 eV/atom
Theoretical density ... 5.1 Mg/m³
ΔH_f (0 K) ... 0.77 eV per atom

abc: 5.747 5.747 5.747
angles: 90.00 90.00 90.00
Fractional positions:
In: 0.500 0.500 0.500
Ag: 0.000 0.500 0.000
Ag: 0.000 0.000 0.500
Ag: 0.500 0.000 0.000
La: 0.000 0.000 0.000

---

Density functional theory data (PBE-GGA) for a relaxed structure of LaIn2Ag9.

Uncorrected energy ... -3.089 eV/atom
Theoretical density ... 8.8 Mg/m³
ΔH_f (0 K) ... -0.08 eV per atom

abc: 5.629 5.629 9.765
angles: 73.25 73.25 60.00
Fractional positions:
La: 0.000 0.000 0.000
In: 0.858 0.858 0.426
In: 0.142 0.142 0.574
Ag: 0.666 0.666 0.001
Ag: 0.334 0.334 0.999
Ag: 0.500 0.500 0.500
Ag: 0.413 0.413 0.256
Ag: 0.919 0.413 0.256
Ag: 0.413 0.919 0.256
Ag: 0.587 0.587 0.744
Ag: 0.587 0.081 0.744
Ag: 0.081 0.587 0.744

---

Density functional theory data (PBE-GGA) for a relaxed structure of La3In6Ag5.

Uncorrected energy ... -3.598 eV/atom
Theoretical density ... 7.9 Mg/m³
ΔH_f (0 K) ... -0.35 eV per atom

abc: 4.914 9.701 14.474
angles: 90.00 90.00 90.00
Fractional positions:
La: 0.000 0.251 0.710
La: 0.500 0.749 0.210
La: 0.500 0.749 0.790
La: 0.000 0.262 0.000
La: 0.500 0.738 0.500
La: 0.000 0.251 0.290
In: 0.000 0.966 0.853
In: 0.500 0.034 0.647
In: 0.500 0.393 0.840
In: 0.500 0.581 0.000
In: 0.000 0.419 0.500
In: 0.000 0.607 0.660
In: 0.000 0.607 0.340
In: 0.500 0.928 0.000
In: 0.000 0.966 0.147
In: 0.500 0.393 0.160
In: 0.000 0.072 0.500
In: 0.500 0.034 0.353
Ag: 0.000 0.538 0.861
Ag: 0.000 0.889 0.652
Ag: 0.000 0.754 0.000
Ag: 0.500 0.462 0.639
Ag: 0.500 0.246 0.500
Ag: 0.000 0.538 0.139
Ag: 0.500 0.462 0.361
Ag: 0.000 0.889 0.348
Ag: 0.500 0.111 0.848
Ag: 0.500 0.111 0.152

---

What are the D(E_F) values for these records? In order: 8.92; 5.61; 5.98; 2.54; 4.69; 10.28 states/eV/f.u..